{
  "formula": "P2IrRu",
  "functional": "PBE-GGA",
  "state": "optimized geometry",
  "space_group": "P4mm, No. 99",
  "relative_energy_mev_per_atom": 335.5,
  "delta_e_f_ev_per_atom": -0.13,
  "cell": [[2.8608, 0.0000, 0.0000], [0.0000, 2.8608, 0.0000], [0.0000, 0.0000, 7.7104]],
  "species": ["P", "P", "Ru", "Ir"],
  "fractional_positions": [[0.0000, 0.0000, 0.9363], [0.5000, 0.5000, 0.3190], [0.0000, 0.0000, 0.4844], [0.5000, 0.5000, 0.7602]]
}